CoSb4Cl | the Alexandria database | GGA-PBE | optimized geometry; crystal system = cubic; total moment = 2.06 μB/f.u.; uncorrected formation energy = 0.6096 eV per atom
1.0
5.125 -2.312 2.609
0.930 0.631 6.096
-0.376 -4.944 3.721
Sb Cl Co
4 1 1
Direct
0.382 0.382 0.855
0.382 0.855 0.382
0.855 0.382 0.382
0.382 0.382 0.382
0.750 0.750 0.750
0.000 0.000 0.000

Co2SbCl | the Alexandria database | GGA-PBE | optimized geometry; energy above the lowest structure with this stoichiometry = 0.0487 eV/atom; crystal system = orthorhombic; total moment = 1.64 μB/f.u.; uncorrected formation energy = 0.0735 eV per atom
1.0
6.526 0.480 -0.397
5.484 3.570 -0.397
0.203 0.068 3.394
Co Sb Cl
2 1 1
Direct
0.974 0.974 0.001
0.168 0.168 0.000
0.558 0.558 0.500
0.800 0.800 0.999

Co4SbCl | the Alexandria database | GGA-PBE | optimized geometry; crystal system = cubic; total moment = 6.49 μB/f.u.; uncorrected formation energy = 0.5456 eV per atom
1.0
0.869 -3.599 -3.326
-1.745 -4.593 0.791
-3.725 -1.762 -2.791
Co Sb Cl
4 1 1
Direct
0.873 0.376 0.376
0.376 0.376 0.873
0.376 0.376 0.376
0.376 0.873 0.376
0.750 0.750 0.750
0.000 0.000 0.000

Co2SbCl | the Alexandria database | GGA-PBE | optimized geometry; energy above the lowest structure with this stoichiometry = 0.1990 eV/atom; crystal system = orthorhombic; total moment = 3.49 μB/f.u.; uncorrected formation energy = 0.2238 eV per atom
1.0
7.919 -0.130 -0.116
6.616 4.354 0.116
-7.275 -2.088 2.337
Co Sb Cl
2 1 1
Direct
0.927 0.927 0.000
0.826 0.326 0.500
0.503 0.503 0.000
0.245 0.745 0.500